Material: Pr2TiVO6
Method: DFT, PBE+U
State: optimized geometry

abc: 5.5384 5.7601 9.6548
angles: 90.00 124.84 90.00
Space group P2_1/c (No. 14)
Inequivalent atoms, fractional coordinates:
Pr1 0.2354 0.0563 0.2490 x4
Ti1 0.5000 0.0000 0.0000 x2
V1 0.0000 0.0000 0.5000 x2
O1 0.1650 0.1938 0.9534 x4
O2 0.2563 0.7146 0.9481 x4
O3 0.3536 0.0306 0.7595 x4

Calculated values
Mass density, Mg/m³: 6.3
E, eV/atom: -8.474